! InGePd3, optimized geometry, DFT GGA-PBE; values from VASP
! Space group   Pmc2_1 (26)
! Density   9.1 Mg/m³
! Magnetization   0.000 μB per formula unit
! ΔE to the lowest computed polymorph   10 meV per atom
! ΔE_f   -0.387 eV/atom
! DFT total energy   -4.974 eV/atom
&SYSTEM
  ibrav = 0, nat = 10, ntyp = 3
/
ATOMIC_SPECIES
In 114.82 In.upf
Ge 72.64 Ge.upf
Pd 106.42 Pd.upf
ATOMIC_POSITIONS crystal
In 0.000 0.629 0.328
In 0.000 0.129 0.672
Ge 0.500 0.754 0.833
Ge 0.500 0.254 0.167
Pd 0.500 0.387 0.481
Pd 0.500 0.307 0.853
Pd 0.000 0.619 0.696
Pd 0.500 0.887 0.519
Pd 0.000 0.119 0.304
Pd 0.500 0.807 0.147
CELL_PARAMETERS angstrom
4.300 0.000 0.000
0.000 5.587 0.000
0.000 0.000 7.679